## ThAlFeTc (PBE)

Data for a relaxed structure of ThAlFeTc.

abc: 4.1719 4.1719 15.6331
angles: 90.00 90.00 120.00
With the nearest neighbours (Å) after each atom.
Element x y z (fractional)
Th 0.0000 0.0000 0.0000  4 Al 3.15-3.17, 4 Fe 3.16-3.17, 3 Tc 3.34
Th 0.3333 0.6667 0.6667  4 Al 3.15-3.17, 4 Fe 3.16-3.17, 3 Tc 3.34
Th 0.6667 0.3333 0.3333  4 Al 3.15-3.17, 4 Fe 3.16-3.17, 3 Tc 3.34
Al 0.0000 0.0000 0.7970  3 Tc 2.56, 3 Fe 2.66
Al 0.3333 0.6667 0.4637  3 Tc 2.56, 3 Fe 2.66
Al 0.6667 0.3333 0.1303  3 Tc 2.56, 3 Fe 2.66
Fe 0.0000 0.0000 0.2026  3 Tc 2.42, 3 Al 2.66
Fe 0.3333 0.6667 0.8693  3 Tc 2.42, 3 Al 2.66
Fe 0.6667 0.3333 0.5359  3 Tc 2.42, 3 Al 2.66
Tc 0.0000 0.0000 0.5190  3 Fe 2.42, 3 Al 2.56
Tc 0.3333 0.6667 0.1857  3 Fe 2.42, 3 Al 2.56
Tc 0.6667 0.3333 0.8523  3 Fe 2.42, 3 Al 2.56

**Formation energy**: -3.8 kcal/mol of atoms
**Space-group type**: R3m, No. 160